{"formula": "NbGaSi", "functional": "PBE", "state": "relaxed", "lattice": [[0.000, 2.987, 2.987], [2.987, 0.000, 2.987], [2.987, 2.987, 0.000]], "species": ["Nb", "Ga", "Si"], "fractional_positions": [[0.000, 0.000, 0.000], [0.500, 0.500, 0.500], [0.750, 0.750, 0.750]]}

***

{"formula": "Nb2GaSn2", "functional": "PBE", "state": "relaxed", "lattice": [[-1.968, 1.968, 7.015], [1.968, -1.968, 7.015], [1.968, 1.968, -7.015]], "species": ["Nb", "Nb", "Ga", "Sn", "Sn"], "fractional_positions": [[0.092, 0.092, 0.000], [0.908, 0.908, 0.000], [0.500, 0.500, 0.000], [0.250, 0.750, 0.500], [0.750, 0.250, 0.500]]}

***

{"formula": "Ta2NbGa2", "functional": "PBE", "state": "relaxed", "lattice": [[6.909, 0.000, 0.000], [0.000, 6.909, 0.000], [0.000, 0.000, 3.519]], "species": ["Ta", "Ta", "Ta", "Ta", "Nb", "Nb", "Ga", "Ga", "Ga", "Ga"], "fractional_positions": [[0.175, 0.325, 0.000], [0.325, 0.825, 0.000], [0.675, 0.175, 0.000], [0.825, 0.675, 0.000], [0.000, 0.000, 0.500], [0.500, 0.500, 0.500], [0.126, 0.626, 0.500], [0.374, 0.126, 0.500], [0.626, 0.874, 0.500], [0.874, 0.374, 0.500]]}

***

| no. | DFT total energy (eV/atom) | density (kg/m³) |
| --- | --- | --- |
| 1 | -5.9360 | 5939 |
| 2 | -5.9271 | 7531 |
| 3 | -8.2582 | 11750 |